(1)
VASP calculation (PBE) on crystalline Tl2HgRhCl6 at its relaxed geometry.

Cell and atoms, written as extended XYZ:
```
20
Lattice="7.1532 0.0000 0.0000 0.0000 10.2426 0.0000 0.0000 0.0000 7.4615" Properties=species:S:1:pos:R:3 pbc="T T T"
Tl 1.7883 0.2188 1.6523
Tl 1.7883 4.9025 1.6523
Tl 5.3649 5.3401 5.8092
Tl 5.3649 10.0238 5.8092
Hg 1.7883 2.5606 5.4120
Hg 5.3649 7.6819 2.0495
Rh 1.7883 7.6819 5.7125
Rh 5.3649 2.5606 1.7490
Cl 0.0660 7.6819 7.3856
Cl 0.0829 7.6819 4.0322
Cl 1.7883 5.2950 5.8202
Cl 1.7883 10.0689 5.8202
Cl 3.4937 7.6819 4.0322
Cl 3.5106 7.6819 7.3856
Cl 3.6426 2.5606 0.0759
Cl 3.6595 2.5606 3.4293
Cl 5.3649 0.1737 1.6413
Cl 5.3649 4.9476 1.6413
Cl 7.0704 2.5606 3.4293
Cl 7.0872 2.5606 0.0759
```

Output
ΔE_f (raw): -0.69 eV/atom

(2)
VASP calculation (PBE) on crystalline ErAlBr6 at its relaxed geometry.

Cell and atoms, written as extended XYZ:
```
8
Lattice="3.2991 -6.8165 0.0000 3.2991 6.8165 0.0000 -1.9995 0.0000 6.2826" Properties=species:S:1:pos:R:3 pbc="T T T"
Er 0.0000 0.0000 0.0000
Al 2.2993 0.0000 3.1413
Br 1.2669 1.8122 1.7231
Br 0.2185 0.0000 4.6574
Br 1.2669 -1.8122 1.7231
Br 3.3318 1.8122 4.5595
Br 4.3802 0.0000 1.6251
Br 3.3318 -1.8122 4.5595
```

Output
ΔE_f (raw): -1.38 eV/atom

(3)
VASP calculation (PBE) on crystalline Li2TlAg5 at its relaxed geometry.

Cell and atoms, written as extended XYZ:
```
16
Lattice="5.8518 0.0000 0.0000 0.0000 11.7894 0.0000 0.0000 0.0000 4.1988" Properties=species:S:1:pos:R:3 pbc="T T T"
Li 1.4483 1.5352 0.0000
Li 1.4776 7.4299 0.0000
Li 4.3742 4.3595 0.0000
Li 4.4035 10.2541 0.0000
Tl 0.0000 5.8947 2.0994
Tl 2.9259 0.0000 2.0994
Ag 0.0000 0.0000 2.0994
Ag 0.0868 2.9129 2.0994
Ag 1.3554 10.2491 0.0000
Ag 1.5705 4.3544 0.0000
Ag 2.8391 8.8076 2.0994
Ag 2.9259 5.8947 2.0994
Ag 3.0127 2.9818 2.0994
Ag 4.2813 7.4349 0.0000
Ag 4.4964 1.5402 0.0000
Ag 5.7650 8.8765 2.0994
```

Output
E_form: -0.108 eV per atom

(4)
VASP calculation (PBE) on crystalline TiAsSCl2 at its relaxed geometry.

Cell and atoms, written as extended XYZ:
```
5
Lattice="4.9147 0.0000 0.0000 0.0000 4.9147 0.0000 0.0000 0.0000 5.0048" Properties=species:S:1:pos:R:3 pbc="T T T"
Ti 0.0000 0.0000 0.0000
As 2.4573 2.4573 2.5024
S 2.4573 2.4573 0.0000
Cl 0.0000 2.4573 2.5024
Cl 2.4573 0.0000 2.5024
```

Output
Distance to the lowest polymorph of the same formula: 595 meV per atom
ΔE_f (raw): 0.21 eV/atom

Number 1: electronic total energy -60.79 eV/cell. Number 2: electronic total energy -29.39 eV/cell. Number 3: electronic total energy -42.63 eV/cell. Number 4: electronic total energy -19.32 eV/cell.